No. 1
Below is a geometry-optimized Tl8S4Cl structure, with properties calculated at the PBE-GGA level.

The calculation puts the uncorrected formation energy at -0.37 eV per atom. As for the crystal system: trigonal. For the final energy, the calculation gives -3.242 eV/atom. For the distance to the lowest polymorph of the same formula, the calculation gives 0 meV/atom.

It has space group R-3m (No. 166, hexagonal axes), with a = 8.5026 Å, b = 8.5026 Å, c = 22.0545 Å, α = 90.00°, β = 90.00° and γ = 120.00°. Symmetry generates all atoms from Tl at (0.0000, 0.0000, 0.2427), Tl at (0.0007, 0.5003, 0.2423), S at (0.0000, 0.0000, 0.5000), S at (0.0000, 0.5000, 0.5000) and Cl at (0.0000, 0.0000, 0.0000).

No. 2
Below is a geometry-optimized Pu2InRu structure, with properties calculated at the PBE-GGA level.

The formation energy is -0.01 eV per atom. As for the crystal system: tetragonal. For the final energy, the calculation gives -10.180 eV/atom. For the distance to the lowest polymorph of the same formula, the calculation gives 192 meV/atom.

It has space group P4/mmm (No. 123), with a = 4.3855 Å, b = 4.3855 Å, c = 4.4734 Å, α = 90.00°, β = 90.00° and γ = 90.00°. Symmetry generates all atoms from Pu at (0.0000, 0.5000, 0.0000), In at (0.0000, 0.0000, 0.5000) and Ru at (0.5000, 0.5000, 0.5000).

No. 3
Below is a geometry-optimized Y2AlCd2 structure, with properties calculated at the PBE-GGA level.

The formation energy is -0.31 eV per atom. As for the crystal system: orthorhombic. For the final energy, the calculation gives -4.012 eV/atom. For the distance to the lowest polymorph of the same formula, the calculation gives 0 meV/atom.

It has space group Cmmm (No. 65), with a = 4.7305 Å, b = 14.8979 Å, c = 3.4341 Å, α = 90.00°, β = 90.00° and γ = 90.00°. Symmetry generates all atoms from Y at (0.0000, 0.1090, 0.0000), Al at (0.0000, 0.5000, 0.5000) and Cd at (0.0000, 0.3026, 0.5000).

No. 4
Below is a geometry-optimized Tb6Sm3Ho2Mg structure, with properties calculated at the PBE-GGA level.

The formation energy is 0.03 eV per atom. As for the crystal system: monoclinic. For the final energy, the calculation gives -4.361 eV/atom.

It has space group C2/m (No. 12), with a = 6.1597 Å, b = 10.6763 Å, c = 11.7209 Å, α = 90.00°, β = 100.15° and γ = 90.00°. Symmetry generates all atoms from Tb at (0.2477, 0.1663, 0.2455), Tb at (0.2487, 0.5000, 0.2466), Sm at (0.0000, 0.1660, 0.5000), Sm at (0.0000, 0.5000, 0.5000), Ho at (0.0000, 0.3336, 0.0000) and Mg at (0.0000, 0.0000, 0.0000).

No. 5
Below is a geometry-optimized LiRhW2 structure, with properties calculated at the PBE-GGA level.

The formation energy is 0.21 eV per atom. As for the crystal system: orthorhombic. For the final energy, the calculation gives -8.582 eV/atom. For the distance to the lowest polymorph of the same formula, the calculation gives 86 meV/atom.

It has space group Pmmm (No. 47), with a = 3.0173 Å, b = 4.3055 Å, c = 4.5438 Å, α = 90.00°, β = 90.00° and γ = 90.00°. Symmetry generates all atoms from Li at (0.0000, 0.0000, 0.0000), Rh at (0.5000, 0.5000, 0.0000), W at (0.0000, 0.5000, 0.5000) and W at (0.5000, 0.0000, 0.5000).

No. 6
Below is a geometry-optimized BiOsCl3 structure, with properties calculated at the PBE-GGA level.

The calculation puts the uncorrected formation energy at 0.43 eV per atom. As for the crystal system: cubic. For the final energy, the calculation gives -3.696 eV/atom. For the distance to the lowest polymorph of the same formula, the calculation gives 0 meV/atom.

It has space group Pm-3m (No. 221), with a = 4.8116 Å, b = 4.8116 Å, c = 4.8116 Å, α = 90.00°, β = 90.00° and γ = 90.00°. Symmetry generates all atoms from Bi at (0.0000, 0.0000, 0.0000), Os at (0.5000, 0.5000, 0.5000) and Cl at (0.0000, 0.5000, 0.5000).

No. 7
Below is a geometry-optimized DyMgZnPb structure, with properties calculated at the PBE-GGA level.

The formation energy is -0.19 eV per atom. As for the crystal system: cubic. For the final energy, the calculation gives -2.989 eV/atom. For the distance to the lowest polymorph of the same formula, the calculation gives 104 meV/atom.

It has space group F-43m (No. 216), with a = 7.2520 Å, b = 7.2520 Å, c = 7.2520 Å, α = 90.00°, β = 90.00° and γ = 90.00°. Symmetry generates all atoms from Dy at (0.0000, 0.0000, 0.0000), Mg at (0.0000, 0.0000, 0.5000), Zn at (0.2500, 0.2500, 0.2500) and Pb at (0.2500, 0.2500, 0.7500).

No. 8
Below is a geometry-optimized Pa2Ge3Rh structure, with properties calculated at the PBE-GGA level.

The formation energy is -0.57 eV per atom. As for the crystal system: orthorhombic. For the final energy, the calculation gives -7.272 eV/atom. For the distance to the lowest polymorph of the same formula, the calculation gives 0 meV/atom.

It has space group Pmm2 (No. 25), with a = 3.8210 Å, b = 4.3737 Å, c = 7.2530 Å, α = 90.00°, β = 90.00° and γ = 90.00°. Symmetry generates all atoms from Pa at (0.0000, 0.0000, 0.0000), Pa at (0.0000, 0.5000, 0.4872), Ge at (0.5000, 0.0000, 0.6595), Ge at (0.5000, 0.5000, 0.1605), Ge at (0.5000, 0.5000, 0.8199) and Rh at (0.5000, 0.0000, 0.3198).

No. 9
Below is a geometry-optimized ZrAs4P structure, with properties calculated at the PBE-GGA level.

The formation energy is 0.28 eV per atom. As for the crystal system: cubic. For the final energy, the calculation gives -5.145 eV/atom.

It has space group F-43m (No. 216), with a = 7.7362 Å, b = 7.7362 Å, c = 7.7362 Å, α = 90.00°, β = 90.00° and γ = 90.00°. Symmetry generates all atoms from Zr at (0.0000, 0.0000, 0.0000), As at (0.1238, 0.1238, 0.6238) and P at (0.2500, 0.2500, 0.2500).

No. 10
Below is a geometry-optimized DyAl4Pd structure, with properties calculated at the PBE-GGA level.

The formation energy is -0.36 eV per atom. As for the crystal system: triclinic. For the final energy, the calculation gives -4.490 eV/atom.

It has space group P-1 (No. 2), with a = 5.6223 Å, b = 6.8244 Å, c = 7.1400 Å, α = 106.71°, β = 90.61° and γ = 113.84°. Symmetry generates all atoms from Dy at (0.9998, 0.0021, 0.2507), Al at (0.0794, 0.4429, 0.6497), Al at (0.3663, 0.4403, 0.1476), Al at (0.4079, 0.8345, 0.5709), Al at (0.4215, 0.8360, 0.0738), Pd at (0.0000, 0.5000, 0.0000) and Pd at (0.5000, 0.5000, 0.5000).

No. 11
Below is a geometry-optimized Sc2ReRu structure, with properties calculated at the PBE-GGA level.

The formation energy is 0.31 eV per atom. As for the crystal system: trigonal. For the final energy, the calculation gives -8.288 eV/atom.

It has space group R-3m (No. 166, hexagonal axes), with a = 2.9540 Å, b = 2.9540 Å, c = 28.3261 Å, α = 90.00°, β = 90.00° and γ = 120.00°. Symmetry generates all atoms from Sc at (0.0000, 0.0000, 0.0935), Re at (0.0000, 0.0000, 0.0000) and Ru at (0.0000, 0.0000, 0.5000).

No. 12
Below is a geometry-optimized PrSm2Y12 structure, with properties calculated at the PBE-GGA level.

The formation energy is 0.17 eV per atom. As for the crystal system: orthorhombic. For the final energy, the calculation gives -5.949 eV/atom.

It has space group Cmme (No. 67), with a = 7.0908 Å, b = 11.4272 Å, c = 24.9742 Å, α = 90.00°, β = 90.00° and γ = 90.00°. Symmetry generates all atoms from Pr at (0.0000, 0.2500, 0.0000), Sm at (0.0000, 0.2500, 0.2690), Sm at (0.0000, 0.2500, 0.7312), Y at (0.0000, 0.0000, 0.0789), Y at (0.0000, 0.0008, 0.4385), Y at (0.2494, 0.2500, 0.5850), Y at (0.2500, 0.0000, 0.2002), Y at (0.2500, 0.0000, 0.3277) and Y at (0.2500, 0.2500, 0.1293).

No. 13
Below is a geometry-optimized TeAsCl structure, with properties calculated at the PBE-GGA level.

The calculation puts the uncorrected formation energy at 0.05 eV per atom. As for the crystal system: orthorhombic. For the final energy, the calculation gives -3.166 eV/atom.

It has space group Fmm2 (No. 42), with a = 3.7599 Å, b = 5.6956 Å, c = 14.6551 Å, α = 90.00°, β = 90.00° and γ = 90.00°. Symmetry generates all atoms from Te at (0.0000, 0.0000, 0.0000), As at (0.0000, 0.0000, 0.6440) and Cl at (0.0000, 0.0000, 0.2703).

No. 14
Below is a geometry-optimized LiVCd structure, with properties calculated at the PBE-GGA level.

The formation energy is 0.26 eV per atom. As for the crystal system: monoclinic. For the final energy, the calculation gives -3.722 eV/atom. For the distance to the lowest polymorph of the same formula, the calculation gives 128 meV/atom.

It has space group Pm (No. 6), with a = 4.2625 Å, b = 4.8493 Å, c = 5.3709 Å, α = 90.00°, β = 109.88° and γ = 90.00°. Symmetry generates all atoms from Li at (0.0000, 0.0000, 0.0000), Li at (0.3389, 0.0000, 0.6903), V at (0.1513, 0.5000, 0.2687), V at (0.4745, 0.5000, 0.0964), Cd at (0.6718, 0.0000, 0.3357) and Cd at (0.8210, 0.5000, 0.6923).

No. 15
Below is a geometry-optimized YVAu3 structure, with properties calculated at the PBE-GGA level.

The formation energy is 0.85 eV per atom. As for the crystal system: cubic. For the final energy, the calculation gives -4.231 eV/atom. For the distance to the lowest polymorph of the same formula, the calculation gives 693 meV/atom.

It has space group Pm-3m (No. 221), with a = 5.3184 Å, b = 5.3184 Å, c = 5.3184 Å, α = 90.00°, β = 90.00° and γ = 90.00°. Symmetry generates all atoms from Y at (0.0000, 0.0000, 0.0000), V at (0.5000, 0.5000, 0.5000) and Au at (0.0000, 0.0000, 0.5000).

No. 16
Below is a geometry-optimized TcMo3C structure, with properties calculated at the PBE-GGA level.

The formation energy is 0.15 eV per atom. As for the crystal system: cubic. For the final energy, the calculation gives -10.265 eV/atom. For the distance to the lowest polymorph of the same formula, the calculation gives 0 meV/atom.

It has space group Pm-3m (No. 221), with a = 4.1309 Å, b = 4.1309 Å, c = 4.1309 Å, α = 90.00°, β = 90.00° and γ = 90.00°. Symmetry generates all atoms from Tc at (0.0000, 0.0000, 0.0000), Mo at (0.0000, 0.5000, 0.5000) and C at (0.5000, 0.5000, 0.5000).

No. 17
Below is a geometry-optimized Ba3SbH3 structure, with properties calculated at the PBE-GGA level.

As for the crystal system: trigonal. For the final energy, the calculation gives -3.449 eV/atom.

It has space group R-3 (No. 148, hexagonal axes), with a = 8.1143 Å, b = 8.1143 Å, c = 24.0768 Å, α = 90.00°, β = 90.00° and γ = 120.00°. Symmetry generates all atoms from Ba at (0.0037, 0.3659, 0.4075), Sb at (0.0000, 0.0000, 0.1657) and H at (0.0087, 0.3142, 0.6269).

No. 18
Below is a geometry-optimized K2Rb2Mo structure, with properties calculated at the PBE-GGA level.

The formation energy is 1.03 eV per atom. As for the crystal system: tetragonal. For the final energy, the calculation gives -1.959 eV/atom. For the distance to the lowest polymorph of the same formula, the calculation gives 0 meV/atom.

It has space group P4/mbm (No. 127), with a = 9.7847 Å, b = 9.7847 Å, c = 7.0130 Å, α = 90.00°, β = 90.00° and γ = 90.00°. Symmetry generates all atoms from K at (0.1808, 0.3192, 0.0000), Rb at (0.1500, 0.6500, 0.5000) and Mo at (0.0000, 0.0000, 0.5000).

No. 19
Below is a geometry-optimized ScInTe2N structure, with properties calculated at the PBE-GGA level.

The calculation puts the uncorrected formation energy at 0.48 eV per atom. As for the crystal system: tetragonal. For the final energy, the calculation gives -4.259 eV/atom. For the distance to the lowest polymorph of the same formula, the calculation gives 493 meV/atom.

It has space group P4/mmm (No. 123), with a = 5.7377 Å, b = 5.7377 Å, c = 4.0775 Å, α = 90.00°, β = 90.00° and γ = 90.00°. Symmetry generates all atoms from Sc at (0.0000, 0.0000, 0.0000), In at (0.5000, 0.5000, 0.5000), Te at (0.0000, 0.5000, 0.5000) and N at (0.5000, 0.5000, 0.0000).

No. 20
Below is a geometry-optimized Na5I2BrO structure, with properties calculated at the PBE-GGA level.

The calculation puts the uncorrected formation energy at -1.29 eV per atom. As for the crystal system: orthorhombic. For the final energy, the calculation gives -3.106 eV/atom.

It has space group Immm (No. 71), with a = 4.5963 Å, b = 7.1259 Å, c = 14.8783 Å, α = 90.00°, β = 90.00° and γ = 90.00°. Symmetry generates all atoms from Na at (0.0000, 0.0000, 0.0000), Na at (0.0000, 0.2725, 0.3895), I at (0.0000, 0.0000, 0.2202), Br at (0.0000, 0.5000, 0.0000) and O at (0.0000, 0.5000, 0.5000).

No. 21
Below is a geometry-optimized Tb2PrTm structure, with properties calculated at the PBE-GGA level.

The formation energy is 0.02 eV per atom. As for the crystal system: trigonal. For the final energy, the calculation gives -4.606 eV/atom. For the distance to the lowest polymorph of the same formula, the calculation gives 0 meV/atom.

It has space group R3m (No. 160, hexagonal axes), with a = 3.5965 Å, b = 3.5965 Å, c = 34.8651 Å, α = 90.00°, β = 90.00° and γ = 120.00°. Symmetry generates all atoms from Tb at (0.0000, 0.0000, 0.0000), Tb at (0.0000, 0.0000, 0.1715), Pr at (0.0000, 0.0000, 0.4195) and Tm at (0.0000, 0.0000, 0.5856).

No. 22
Below is a geometry-optimized PaGeH structure, with properties calculated at the PBE-GGA level.

As for the crystal system: orthorhombic. For the final energy, the calculation gives -6.318 eV/atom. For the distance to the lowest polymorph of the same formula, the calculation gives 0 meV/atom.

It has space group Cmcm (No. 63), with a = 4.0180 Å, b = 11.0397 Å, c = 4.1931 Å, α = 90.00°, β = 90.00° and γ = 90.00°. Symmetry generates all atoms from Pa at (0.0000, 0.1490, 0.2500), Ge at (0.0000, 0.4268, 0.2500) and H at (0.0000, 0.2480, 0.7500).

No. 23
Below is a geometry-optimized PmSiNi4 structure, with properties calculated at the PBE-GGA level.

The calculation puts the uncorrected formation energy at -0.24 eV per atom. As for the crystal system: cubic. For the final energy, the calculation gives -5.793 eV/atom. For the distance to the lowest polymorph of the same formula, the calculation gives 194 meV/atom.

It has space group F-43m (No. 216), with a = 6.9608 Å, b = 6.9608 Å, c = 6.9608 Å, α = 90.00°, β = 90.00° and γ = 90.00°. Symmetry generates all atoms from Pm at (0.0000, 0.0000, 0.0000), Si at (0.2500, 0.2500, 0.2500) and Ni at (0.1236, 0.1236, 0.6236).